The following is a GGA-PBE calculation of crystalline SmEuHg2 at its relaxed geometry, from Alexandria via LeMat-Bulk.

Unit cell a=3.9803 b=3.9803 c=27.4611 alpha=90.00 beta=90.00 gamma=120.00
Last column: nearest neighbours and their distance in Å.
Space group R-3m (No. 166, hexagonal axes)
Asymmetric unit:
Sm (0.0000, 0.0000, 0.0000) x3  6 Hg 3.17
Eu (0.0000, 0.0000, 0.5000) x3  6 Hg 3.31
Hg (0.0000, 0.0000, 0.2536) x6  3 Sm 3.17, 3 Eu 3.31

Values from the calculation:
The value obtained for the total magnetization is 7.4 μB/f.u. The formation enthalpy at 0 K is -0.342 eV/atom. The density of states at the Fermi level is 2.774 states/eV/atom. The value obtained for the final energy is -4.242 eV per atom.

=====

The following is a GGA-PBE calculation of crystalline SmEuHg2 at its relaxed geometry, from Alexandria via LeMat-Bulk.

Unit cell a=7.6672 b=7.6672 c=7.6672 alpha=90.00 beta=90.00 gamma=90.00
Last column: nearest neighbours and their distance in Å.
Space group Fm-3m (No. 225)
Asymmetric unit:
Sm (0.0000, 0.0000, 0.0000) x4  8 Hg 3.32
Eu (0.0000, 0.0000, 0.5000) x4  8 Hg 3.32
Hg (0.2500, 0.2500, 0.2500) x8  4 Eu 3.32, 4 Sm 3.32

Values from the calculation:
The value obtained for the total magnetization is 7.0 μB/f.u. The formation enthalpy at 0 K is -0.502 eV/atom. The density of states at the Fermi level is 0.969 states/eV/atom. The value obtained for the final energy is -4.401 eV per atom.

=====

The following is a GGA-PBE calculation of crystalline SmEuHg2 at its relaxed geometry, from Alexandria via LeMat-Bulk.

Unit cell a=5.4135 b=5.4135 c=3.8507 alpha=90.00 beta=90.00 gamma=90.00
Last column: nearest neighbours and their distance in Å.
Space group P4/mmm (No. 123)
Asymmetric unit:
Sm (0.0000, 0.0000, 0.0000) x1  8 Hg 3.32
Eu (0.5000, 0.5000, 0.0000) x1  8 Hg 3.32
Hg (0.0000, 0.5000, 0.5000) x2  4 Eu 3.32, 4 Sm 3.32

Values from the calculation:
The value obtained for the total magnetization is 7.1 μB/f.u. The formation enthalpy at 0 K is -0.517 eV/atom. The density of states at the Fermi level is 1.499 states/eV/atom. The value obtained for the final energy is -4.416 eV per atom.

=====

The following is a GGA-PBE calculation of crystalline SmEu2Hg at its relaxed geometry, from Alexandria via LeMat-Bulk.

Unit cell a=3.7005 b=3.7005 c=37.7824 alpha=90.00 beta=90.00 gamma=120.00
Last column: nearest neighbours and their distance in Å.
Space group R-3m (No. 166, hexagonal axes)
Asymmetric unit:
Sm (0.0000, 0.0000, 0.0000) x3  6 Sm 3.70, 6 Eu 3.72
Eu (0.0000, 0.0000, 0.4139) x6  1 Hg 3.25
Hg (0.0000, 0.0000, 0.5000) x3  2 Eu 3.25

Values from the calculation:
The value obtained for the total magnetization is 15.4 μB/f.u. The calculation puts the energy above the most stable polymorph in this dataset at 289 meV per atom. The formation enthalpy at 0 K is 0.086 eV/atom. The density of states at the Fermi level is 1.211 states/eV/atom. The value obtained for the final energy is -6.306 eV per atom.